Al2Sb2O7 | GGA-PBE | optimized geometry

Cell: 7.024 7.024 7.024 Å, 60.00 60.00 60.00°
Fractional coordinates of all 22 atoms:
Al: 0.625 0.625 0.625
Al: 0.625 0.125 0.625
Al: 0.125 0.625 0.625
Al: 0.625 0.625 0.125
Sb: 0.125 0.125 0.125
Sb: 0.125 0.625 0.125
Sb: 0.625 0.125 0.125
Sb: 0.125 0.125 0.625
O: 0.500 0.500 0.500
O: 0.750 0.750 0.750
O: 0.241 0.759 0.759
O: 0.491 0.009 0.009
O: 0.241 0.241 0.759
O: 0.759 0.241 0.759
O: 0.241 0.759 0.241
O: 0.759 0.759 0.241
O: 0.759 0.241 0.241
O: 0.009 0.491 0.009
O: 0.491 0.009 0.491
O: 0.009 0.491 0.491
O: 0.491 0.491 0.009
O: 0.009 0.009 0.491

Space group = Fd-3m (227)
Magnetization = 0.00 Bohr magnetons per cell
ΔE_f (raw) = -1.4515 eV per atom
DFT total energy = -6.037 eV/atom

***

TaZn2Ru | GGA-PBE | optimized geometry

Cell: 4.946 4.946 4.349 Å, 74.70 74.70 36.81°
Fractional coordinates of all 4 atoms:
Ru: 0.250 0.250 0.250
Ta: 0.750 0.750 0.750
Zn: 0.993 0.993 0.013
Zn: 0.507 0.507 0.487

Space group = C2/m (12)
ΔE to the lowest computed polymorph = 68.7 meV per atom
Formation enthalpy at 0 K = -0.0455 eV/atom
Magnetization = 0.00 Bohr magnetons per cell
DFT total energy = -5.965 eV/atom

***

LiSbO3 | GGA-PBE | optimized geometry

Cell: 5.300 5.300 5.428 Å, 78.10 78.10 119.20°
Fractional coordinates of all 10 atoms:
Li: 0.842 0.842 0.355
Li: 0.158 0.158 0.645
Sb: 0.669 0.331 0.000
Sb: 0.331 0.669 0.000
O: 0.721 0.721 0.767
O: 0.279 0.279 0.233
O: 0.450 0.093 0.783
O: 0.907 0.550 0.217
O: 0.550 0.907 0.217
O: 0.093 0.450 0.783

Space group = C2/m (12)
Magnetization = 0.00 Bohr magnetons per cell
ΔE_f (raw) = -1.6989 eV per atom
DFT total energy = -5.881 eV/atom